Computed, not measured: a relaxed structure of MnNbAl2 at the PBE-GGA level of DFT.

Properties
As for the energy of formation from the pure elements: 6.2 kcal/mol of atoms. The value obtained for the density is 5044 kg/m³.

a b c (Å): 3.744 3.744 18.961
angles (deg): 90.00 90.00 90.00
Space group I-42d (No. 122)
Symmetry-distinct sites (fractional):
Mn 0.000 0.000 0.000 [4 per cell]
Nb 0.000 0.000 0.500 [4 per cell]
Al 0.243 0.250 0.125 [8 per cell]

Computed, not measured: a relaxed structure of MnNbAl2 at the PBE-GGA level of DFT.

Properties
As for the energy of formation from the pure elements: 1.1 kcal/mol of atoms. The value obtained for the density is 5690 kg/m³.

a b c (Å): 6.176 6.176 6.176
angles (deg): 90.00 90.00 90.00
Space group Fm-3m (No. 225)
Symmetry-distinct sites (fractional):
Mn 0.000 0.000 0.000 [4 per cell]
Nb 0.000 0.000 0.500 [4 per cell]
Al 0.250 0.250 0.250 [8 per cell]

Computed, not measured: a relaxed structure of Mn2NbAl at the PBE-GGA level of DFT.

Properties
As for the energy of formation from the pure elements: -3.9 kcal/mol of atoms. The value obtained for the density is 6936 kg/m³.

a b c (Å): 3.086 3.086 5.775
angles (deg): 90.00 90.00 90.00
Space group P4/mmm (No. 123)
Symmetry-distinct sites (fractional):
Mn 0.000 0.000 0.244 [2 per cell]
Nb 0.500 0.500 0.500 [1 per cell]
Al 0.500 0.500 0.000 [1 per cell]

Computed, not measured: a relaxed structure of MnNb3Al at the PBE-GGA level of DFT.

Properties
As for the energy of formation from the pure elements: 13.5 kcal/mol of atoms. The value obtained for the density is 6179 kg/m³.

a b c (Å): 4.593 4.593 4.593
angles (deg): 90.00 90.00 90.00
Space group Pm-3m (No. 221)
Symmetry-distinct sites (fractional):
Mn 0.000 0.000 0.000 [1 per cell]
Nb 0.000 0.000 0.500 [3 per cell]
Al 0.500 0.500 0.500 [1 per cell]

Computed, not measured: a relaxed structure of Mn2NbAl at the PBE-GGA level of DFT.

Properties
As for the energy of formation from the pure elements: 10.6 kcal/mol of atoms. The value obtained for the density is 6096 kg/m³.

a b c (Å): 6.848 6.848 5.339
angles (deg): 90.00 90.00 90.00
Space group I-42d (No. 122)
Symmetry-distinct sites (fractional):
Mn 0.248 0.250 0.125 [8 per cell]
Nb 0.000 0.000 0.500 [4 per cell]
Al 0.000 0.000 0.000 [4 per cell]

Computed, not measured: a relaxed structure of Mn5Nb4Al at the PBE-GGA level of DFT.

Properties
As for the energy of formation from the pure elements: -2.9 kcal/mol of atoms. The value obtained for the density is 7906 kg/m³.

a b c (Å): 3.072 3.072 14.982
angles (deg): 90.00 90.00 90.00
Space group P4/mmm (No. 123)
Symmetry-distinct sites (fractional):
Mn 0.000 0.000 0.000 [1 per cell]
Mn 0.000 0.000 0.204 [2 per cell]
Mn 0.000 0.000 0.406 [2 per cell]
Nb 0.500 0.500 0.103 [2 per cell]
Nb 0.500 0.500 0.309 [2 per cell]
Al 0.500 0.500 0.500 [1 per cell]

Among the records above, which one has the highest density?
Mn5Nb4Al